# 1
## LiTcAg2 (PBE-GGA)

Data for LiTcAg2 after structural relaxation.

abc: 2.6623 4.2082 5.7872
angles: 90.00 90.00 90.00
Site moments in Bohr magnetons follow the coordinates.
Element x y z (fractional)
Ag: 0.0000 0.0000 0.9994  0.03
Ag: 0.0000 0.0000 0.5006  0.03
Li: 0.5000 0.5000 0.2500  -0.01
Tc: 0.5000 0.5000 0.7500  0.95

Computed properties:
**Crystal system**: orthorhombic

***

# 2
## TbNdY6 (PBE-GGA)

Data for TbNdY6 after structural relaxation.

abc: 11.3162 9.4886 6.2012
angles: 29.23 56.89 69.11
Element x y z (fractional)
Y: 0.2486 0.7482 0.7549
Y: 0.1237 0.3742 0.8770
Y: 0.8763 0.6258 0.1230
Y: 0.7514 0.2518 0.2451
Y: 0.6262 0.8758 0.3724
Y: 0.3738 0.1242 0.6276
Nd: 0.5000 0.5000 0.5000
Tb: 0.0000 0.0000 0.0000

Computed properties:
**Crystal system**: triclinic

***

Number 1: energy relative to the elements 0.3352 eV/atom, offset from the most stable computed form 97 meV per atom. Number 2: energy relative to the elements 0.0217 eV/atom, offset from the most stable computed form 0 meV per atom.